The following is a DFT calculation (PBEsol) of a relaxed structure of Y2TiCuPb.

CIF file:
```
data_Y2TiCuPb
_chemical_formula_sum 'Y2 Ti1 Cu1 Pb1'
_symmetry_space_group_name_H-M 'P 4/m m m'
_symmetry_Int_Tables_number 123
_symmetry_space_group_name_Hall '-P 4 2'
_cell_length_a 5.6721
_cell_length_b 5.6721
_cell_length_c 5.1218
_cell_angle_alpha 90.00
_cell_angle_beta 90.00
_cell_angle_gamma 90.00
loop_
_atom_site_label
_atom_site_fract_x
_atom_site_fract_y
_atom_site_fract_z
_atom_site_occupancy
Y1 0.0000 0.5000 0.0000 1
Ti1 0.0000 0.0000 0.5000 1
Cu1 0.5000 0.5000 0.5000 1
Pb1 0.0000 0.0000 0.0000 1
```

Values from the calculation:
* size of the total moment: 3.5 μB per cell
* E_form: 0.9627 eV per atom
* calculated total energy: -5.10 eV per atom
* crystal system: tetragonal

The following is a DFT calculation (PBEsol) of a relaxed structure of SrTiSiCl2.

CIF file:
```
data_SrTiSiCl2
_chemical_formula_sum 'Sr1 Ti1 Si1 Cl2'
_symmetry_space_group_name_H-M 'P 4/m m m'
_symmetry_Int_Tables_number 123
_symmetry_space_group_name_Hall '-P 4 2'
_cell_length_a 4.6228
_cell_length_b 4.6228
_cell_length_c 7.5443
_cell_angle_alpha 90.00
_cell_angle_beta 90.00
_cell_angle_gamma 90.00
loop_
_atom_site_label
_atom_site_fract_x
_atom_site_fract_y
_atom_site_fract_z
_atom_site_occupancy
Sr1 0.0000 0.0000 0.0000 1
Ti1 0.0000 0.0000 0.5000 1
Si1 0.5000 0.5000 0.0000 1
Cl1 0.0000 0.5000 0.5000 1
```

Values from the calculation:
* size of the total moment: 4.0 μB per cell
* calculated total energy: -4.23 eV per atom
* crystal system: tetragonal
* energy relative to the elements, uncorrected: -0.25 eV/atom

The following is a DFT calculation (PBEsol) of a relaxed structure of In2Re.

CIF file:
```
data_In2Re
_chemical_formula_sum 'In2 Re1'
_symmetry_space_group_name_H-M 'P -3 m 1'
_symmetry_Int_Tables_number 164
_symmetry_space_group_name_Hall '-P 3 2"'
_cell_length_a 4.7499
_cell_length_b 4.7499
_cell_length_c 2.8361
_cell_angle_alpha 90.00
_cell_angle_beta 90.00
_cell_angle_gamma 120.00
loop_
_atom_site_label
_atom_site_fract_x
_atom_site_fract_y
_atom_site_fract_z
_atom_site_occupancy
In1 0.3333 0.6667 0.3250 1
Re1 0.0000 0.0000 0.0000 1
```

Values from the calculation:
* size of the total moment: 0.0 μB per cell
* E_form: 0.6803 eV per atom
* calculated total energy: -5.75 eV per atom
* crystal system: trigonal

The following is a DFT calculation (PBEsol) of a relaxed structure of Rh2S3.

CIF file:
```
data_Rh2S3
_chemical_formula_sum 'Rh12 S18'
_symmetry_space_group_name_H-M 'R -3 c'
_symmetry_Int_Tables_number 167
_symmetry_space_group_name_Hall '-R 3 2"c'
_cell_length_a 5.9292
_cell_length_b 5.9292
_cell_length_c 15.5699
_cell_angle_alpha 90.00
_cell_angle_beta 90.00
_cell_angle_gamma 120.00
loop_
_atom_site_label
_atom_site_fract_x
_atom_site_fract_y
_atom_site_fract_z
_atom_site_occupancy
Rh1 0.0000 0.0000 0.1492 1
S1 0.0000 0.2995 0.2500 1
```

Values from the calculation:
* size of the total moment: 0.0 μB per cell
* calculated total energy: -6.46 eV per atom
* crystal system: trigonal
* energy relative to the elements, uncorrected: -0.57 eV/atom

The following is a DFT calculation (PBEsol) of a relaxed structure of KAlAg2.

CIF file:
```
data_KAlAg2
_chemical_formula_sum 'K2 Al2 Ag4'
_symmetry_space_group_name_H-M 'I m m m'
_symmetry_Int_Tables_number 71
_symmetry_space_group_name_Hall '-I 2 2'
_cell_length_a 4.4700
_cell_length_b 5.5222
_cell_length_c 7.4190
_cell_angle_alpha 90.00
_cell_angle_beta 90.00
_cell_angle_gamma 90.00
loop_
_atom_site_label
_atom_site_fract_x
_atom_site_fract_y
_atom_site_fract_z
_atom_site_occupancy
K1 0.0000 0.0000 0.0000 1
Al1 0.0000 0.0000 0.5000 1
Ag1 0.0000 0.5000 0.1949 1
```

Values from the calculation:
* size of the total moment: 0.0 μB per cell
* E_form: 0.2965 eV per atom
* calculated total energy: -2.67 eV per atom
* crystal system: orthorhombic

The following is a DFT calculation (PBEsol) of a relaxed structure of LiTaRu2.

CIF file:
```
data_LiTaRu2
_chemical_formula_sum 'Li4 Ta4 Ru8'
_symmetry_space_group_name_H-M 'F -4 3 m'
_symmetry_Int_Tables_number 216
_symmetry_space_group_name_Hall 'F -4 2 3'
_cell_length_a 6.0743
_cell_length_b 6.0743
_cell_length_c 6.0743
_cell_angle_alpha 90.00
_cell_angle_beta 90.00
_cell_angle_gamma 90.00
loop_
_atom_site_label
_atom_site_fract_x
_atom_site_fract_y
_atom_site_fract_z
_atom_site_occupancy
Li1 0.0000 0.0000 0.0000 1
Ta1 0.2500 0.2500 0.2500 1
Ru1 0.0000 0.0000 0.5000 1
Ru2 0.2500 0.2500 0.7500 1
```

Values from the calculation:
* size of the total moment: 0.0 μB per cell
* E_form: 0.2376 eV per atom
* calculated total energy: -8.48 eV per atom
* crystal system: cubic
* distance to the lowest polymorph of the same formula: 1.49 eV/f.u.

The following is a DFT calculation (PBEsol) of a relaxed structure of KRb2InF6.

CIF file:
```
data_KRb2InF6
_chemical_formula_sum 'K4 Rb8 In4 F24'
_symmetry_space_group_name_H-M 'F m -3 m'
_symmetry_Int_Tables_number 225
_symmetry_space_group_name_Hall '-F 4 2 3'
_cell_length_a 9.0970
_cell_length_b 9.0970
_cell_length_c 9.0970
_cell_angle_alpha 90.00
_cell_angle_beta 90.00
_cell_angle_gamma 90.00
loop_
_atom_site_label
_atom_site_fract_x
_atom_site_fract_y
_atom_site_fract_z
_atom_site_occupancy
K1 0.0000 0.0000 0.0000 1
Rb1 0.2500 0.2500 0.2500 1
In1 0.0000 0.0000 0.5000 1
F1 0.0000 0.0000 0.2719 1
```

Values from the calculation:
* size of the total moment: 0.0 μB per cell
* calculated total energy: -4.51 eV per atom
* crystal system: cubic
* energy relative to the elements, uncorrected: -2.74 eV/atom

The following is a DFT calculation (PBEsol) of a relaxed structure of Sc2ReSi.

CIF file:
```
data_Sc2ReSi
_chemical_formula_sum 'Sc6 Re3 Si3'
_symmetry_space_group_name_H-M 'R -3 m'
_symmetry_Int_Tables_number 166
_symmetry_space_group_name_Hall '-R 3 2"'
_cell_length_a 2.8712
_cell_length_b 2.8712
_cell_length_c 28.9113
_cell_angle_alpha 90.00
_cell_angle_beta 90.00
_cell_angle_gamma 120.00
loop_
_atom_site_label
_atom_site_fract_x
_atom_site_fract_y
_atom_site_fract_z
_atom_site_occupancy
Sc1 0.0000 0.0000 0.0898 1
Re1 0.0000 0.0000 0.0000 1
Si1 0.0000 0.0000 0.5000 1
```

Values from the calculation:
* size of the total moment: 0.0 μB per cell
* calculated total energy: -7.83 eV per atom
* crystal system: trigonal
* energy relative to the elements, uncorrected: 0.24 eV/atom

The following is a DFT calculation (PBEsol) of a relaxed structure of SrMgCu3.

CIF file:
```
data_SrMgCu3
_chemical_formula_sum 'Sr1 Mg1 Cu3'
_symmetry_space_group_name_H-M 'P m -3 m'
_symmetry_Int_Tables_number 221
_symmetry_space_group_name_Hall '-P 4 2 3'
_cell_length_a 4.7294
_cell_length_b 4.7294
_cell_length_c 4.7294
_cell_angle_alpha 90.00
_cell_angle_beta 90.00
_cell_angle_gamma 90.00
loop_
_atom_site_label
_atom_site_fract_x
_atom_site_fract_y
_atom_site_fract_z
_atom_site_occupancy
Sr1 0.0000 0.0000 0.0000 1
Mg1 0.5000 0.5000 0.5000 1
Cu1 0.0000 0.5000 0.5000 1
```

Values from the calculation:
* size of the total moment: 0.0 μB per cell
* E_form: 0.4471 eV per atom
* calculated total energy: -2.86 eV per atom
* crystal system: cubic

The following is a DFT calculation (PBEsol) of a relaxed structure of V3P2O11.

CIF file:
```
data_V3P2O11
_chemical_formula_sum 'V12 P8 O44'
_symmetry_space_group_name_H-M 'P 1 21/c 1'
_symmetry_Int_Tables_number 14
_cell_length_a 11.8341
_cell_length_b 6.8382
_cell_length_c 9.9084
_cell_angle_alpha 90.00
_cell_angle_beta 91.47
_cell_angle_gamma 90.00
loop_
_symmetry_equiv_pos_as_xyz
'x,y,z'
'-x,-y,-z'
'-x,y+1/2,-z+1/2'
'x,-y+1/2,z+1/2'
loop_
_atom_site_label
_atom_site_fract_x
_atom_site_fract_y
_atom_site_fract_z
_atom_site_occupancy
V1 0.1753 0.1967 0.4740 1
V2 0.2520 0.6631 0.3677 1
V3 0.3233 0.1861 0.2748 1
P1 0.0864 0.7084 0.1099 1
P2 0.4190 0.7011 0.6278 1
O1 0.0383 0.2199 0.8982 1
O2 0.0946 0.0055 0.5677 1
O3 0.1257 0.7283 0.2589 1
O4 0.1581 0.6581 0.5217 1
O5 0.2485 0.0135 0.3744 1
O6 0.2477 0.2373 0.1226 1
O7 0.2490 0.0999 0.8669 1
O8 0.3484 0.6587 0.2135 1
O9 0.3781 0.7136 0.4789 1
O10 0.4128 0.0073 0.1822 1
O11 0.4545 0.2450 0.3726 1
```

Values from the calculation:
* size of the total moment: 12.0 μB per cell
* calculated total energy: -8.41 eV per atom
* crystal system: monoclinic
* energy relative to the elements, uncorrected: -2.27 eV/atom

The following is a DFT calculation (PBEsol) of a relaxed structure of CaMnPO2.

CIF file:
```
data_CaMnPO2
_chemical_formula_sum 'Ca1 Mn1 P1 O2'
_symmetry_space_group_name_H-M 'P 4/m m m'
_symmetry_Int_Tables_number 123
_symmetry_space_group_name_Hall '-P 4 2'
_cell_length_a 4.0858
_cell_length_b 4.0858
_cell_length_c 5.5861
_cell_angle_alpha 90.00
_cell_angle_beta 90.00
_cell_angle_gamma 90.00
loop_
_atom_site_label
_atom_site_fract_x
_atom_site_fract_y
_atom_site_fract_z
_atom_site_occupancy
Ca1 0.0000 0.0000 0.0000 1
Mn1 0.5000 0.5000 0.5000 1
P1 0.0000 0.0000 0.5000 1
O1 0.0000 0.5000 0.0000 1
```

Values from the calculation:
* size of the total moment: 5.8 μB per cell
* calculated total energy: -5.50 eV per atom
* crystal system: tetragonal
* energy relative to the elements, uncorrected: 0.14 eV/atom